# 1
Here is an optimized crystal structure of TbEr5Tm3 from Alexandria via LeMat-Bulk. Energies are from PBE-GGA.

Summary:
calculated formation energy	42.4	kJ per mole of atoms
distance to the lowest polymorph of the same formula	305	meV per atom
space group	C2/m

Cell lengths 9.181, 9.181, 12.644 Å; angles 51.33, 51.33, 50.75 degrees
Element x y z (fractional)
Er (0.631, 0.631, 0.070)
Er (0.369, 0.369, 0.930)
Er (0.321, 0.679, 0.000)
Er (0.443, 0.443, 0.434)
Er (0.921, 0.508, 0.220)
Er (0.492, 0.079, 0.780)
Er (0.679, 0.321, 0.000)
Er (0.508, 0.921, 0.220)
Er (0.079, 0.492, 0.780)
Er (0.557, 0.557, 0.566)
Tm (0.697, 0.697, 0.683)
Tm (0.303, 0.303, 0.317)
Tm (0.834, 0.834, 0.338)
Tm (0.166, 0.166, 0.662)
Tm (0.000, 0.000, 0.500)
Tm (0.000, 0.000, 0.000)
Tb (0.106, 0.106, 0.128)
Tb (0.894, 0.894, 0.872)

# 2
Here is an optimized crystal structure of Tb4ErTm from Alexandria via LeMat-Bulk. Energies are from PBE-GGA.

Summary:
calculated formation energy	25.0	kJ per mole of atoms
distance to the lowest polymorph of the same formula	251	meV per atom
space group	F-43m

Cell lengths 6.522, 6.522, 6.522 Å; angles 60.00, 60.00, 60.00 degrees
Element x y z (fractional)
Tb (0.625, 0.625, 0.125)
Tb (0.625, 0.625, 0.625)
Tb (0.125, 0.625, 0.625)
Tb (0.625, 0.125, 0.625)
Tm (0.250, 0.250, 0.250)
Er (0.000, 0.000, 0.000)

# 3
Here is an optimized crystal structure of TbEr6Tm4 from Alexandria via LeMat-Bulk. Energies are from PBE-GGA.

Summary:
calculated formation energy	30.5	kJ per mole of atoms
distance to the lowest polymorph of the same formula	188	meV per atom
space group	I-42m

Cell lengths 6.459, 6.459, 9.588 Å; angles 109.68, 109.68, 90.00 degrees
Element x y z (fractional)
Tb (0.500, 0.500, 0.000)
Er (0.141, 0.141, 0.655)
Er (0.859, 0.486, 0.345)
Er (0.514, 0.514, 0.655)
Er (0.500, 0.000, 0.000)
Er (0.486, 0.859, 0.345)
Er (0.000, 0.500, 0.000)
Tm (0.047, 0.688, 0.735)
Tm (0.312, 0.312, 0.265)
Tm (0.688, 0.047, 0.735)
Tm (0.953, 0.953, 0.265)

# 4
Here is an optimized crystal structure of Tb3Er5Tm3 from Alexandria via LeMat-Bulk. Energies are from PBE-GGA.

Summary:
calculated formation energy	34.8	kJ per mole of atoms
space group	P-62m

Cell lengths 3.392, 10.994, 10.994 Å; angles 120.00, 90.00, 90.00 degrees
Element x y z (fractional)
Er (0.500, 0.333, 0.667)
Er (0.500, 0.000, 0.840)
Er (0.500, 0.667, 0.333)
Er (0.500, 0.840, 0.000)
Er (0.500, 0.160, 0.160)
Tm (0.000, 0.000, 0.594)
Tm (0.000, 0.406, 0.406)
Tm (0.000, 0.594, 0.000)
Tb (0.500, 0.341, 0.000)
Tb (0.500, 0.000, 0.341)
Tb (0.500, 0.659, 0.659)

# 5
Here is an optimized crystal structure of Tb3Er2Tm2 from Alexandria via LeMat-Bulk. Energies are from PBE-GGA.

Summary:
calculated formation energy	11.2	kJ per mole of atoms
distance to the lowest polymorph of the same formula	96	meV per atom
space group	C2/m

Cell lengths 3.468, 8.408, 8.784 Å; angles 118.47, 101.38, 90.00 degrees
Element x y z (fractional)
Tb (0.788, 0.200, 0.576)
Tb (0.000, 0.500, 0.000)
Tb (0.212, 0.800, 0.424)
Tm (0.854, 0.676, 0.708)
Tm (0.146, 0.324, 0.292)
Er (0.565, 0.910, 0.130)
Er (0.435, 0.090, 0.870)

# 6
Here is an optimized crystal structure of Tb2Er2Tm3 from Alexandria via LeMat-Bulk. Energies are from PBE-GGA.

Summary:
calculated formation energy	23.6	kJ per mole of atoms
distance to the lowest polymorph of the same formula	127	meV per atom
space group	I2_13

Cell lengths 8.299, 8.299, 8.299 Å; angles 109.47, 109.47, 109.47 degrees
Element x y z (fractional)
Tm (0.689, 0.750, 0.939)
Tm (0.750, 0.561, 0.311)
Tm (0.811, 0.250, 0.561)
Tm (0.439, 0.189, 0.750)
Tm (0.250, 0.939, 0.189)
Tm (0.061, 0.311, 0.250)
Tb (0.500, 0.809, 0.500)
Tb (0.000, 0.000, 0.809)
Tb (0.309, 0.500, 0.000)
Tb (0.191, 0.691, 0.691)
Er (0.500, 0.409, 0.500)
Er (0.000, 0.000, 0.409)
Er (0.909, 0.500, 0.000)
Er (0.591, 0.091, 0.091)

The evaluated raw total energy for the records listed, in turn: -4.1001 -4.3332 -4.2196 -4.1958 -4.4495 -4.2981 eV per atom.
The evaluated calculated volume for the records listed, in turn: 33.1 32.7 32.0 32.3 31.3 31.4 A^3/atom.
The evaluated Fermi-level density of states for the records listed, in turn: 13.46 9.06 14.06 16.26 11.07 8.81 states/eV/f.u..